1.
The following is a PBE calculation of crystalline TaF2 at its relaxed geometry, from Alexandria via LeMat-Bulk.

Summary:
As for the theoretical density: 9.27 Mg/m³. As for the relative energy among the computed polymorphs: 0.20 eV per formula unit. The value obtained for the formation energy from raw total energies is -2082 meV per atom. Its raw total energy is -43.68 eV/cell.

Cell: 3.1996 4.9801 4.9993 Å, 81.49 85.47 86.09°
Positions (direct):
Ta (0.1277, 0.1578, 0.1577)
Ta (0.8723, 0.8422, 0.8423)
F (0.2461, 0.8301, 0.4575)
F (0.2504, 0.4605, 0.8302)
F (0.7496, 0.5395, 0.1698)
F (0.7539, 0.1699, 0.5425)

=====

2.
The following is a PBE calculation of crystalline La2TbScO6 at its relaxed geometry, from Alexandria via LeMat-Bulk.

Summary:
As for the theoretical density: 6.56 Mg/m³. The value obtained for the formation energy from raw total energies is -3486 meV per atom. Its raw total energy is -170.85 eV/cell.

Cell: 5.8085 6.0036 10.1757 Å, 90.00 124.43 90.00°
Positions (direct):
La (0.2354, 0.0490, 0.2508)
La (0.2354, 0.4510, 0.7508)
La (0.7646, 0.5490, 0.2492)
La (0.7646, 0.9510, 0.7492)
Tb (0.5000, 0.0000, 0.0000)
Tb (0.5000, 0.5000, 0.5000)
Sc (0.0000, 0.0000, 0.5000)
Sc (0.0000, 0.5000, 0.0000)
O (0.1209, 0.2051, 0.9338)
O (0.1209, 0.2949, 0.4338)
O (0.2324, 0.6897, 0.9378)
O (0.2324, 0.8103, 0.4378)
O (0.3615, 0.0514, 0.7411)
O (0.3615, 0.4486, 0.2411)
O (0.6385, 0.5514, 0.7589)
O (0.6385, 0.9486, 0.2589)
O (0.7676, 0.1897, 0.5622)
O (0.7676, 0.3103, 0.0622)
O (0.8791, 0.7051, 0.5662)
O (0.8791, 0.7949, 0.0662)

=====

3.
The following is a PBE calculation of crystalline Dy6TlHg2Te3 at its relaxed geometry, from Alexandria via LeMat-Bulk.

Summary:
As for the theoretical density: 9.33 Mg/m³. The value obtained for the formation energy from raw total energies is -841 meV per atom. Its raw total energy is -50.10 eV/cell.

Cell: 10.0465 10.0465 9.2059 Å, 110.10 110.10 23.69°
Positions (direct):
Dy (0.0059, 0.0059, 0.2545)
Dy (0.3312, 0.3312, 0.8942)
Dy (0.3359, 0.3359, 0.3992)
Dy (0.6641, 0.6641, 0.6008)
Dy (0.6688, 0.6688, 0.1058)
Dy (0.9941, 0.9941, 0.7455)
Tl (0.5000, 0.5000, 0.0000)
Hg (0.1769, 0.1769, 0.3644)
Hg (0.8231, 0.8231, 0.6356)
Te (0.1636, 0.1636, 0.8496)
Te (0.5000, 0.5000, 0.5000)
Te (0.8364, 0.8364, 0.1504)

=====

4.
The following is a PBE calculation of crystalline CdTe2As at its relaxed geometry, from Alexandria via LeMat-Bulk.

Summary:
As for the theoretical density: 6.64 Mg/m³. As for the relative energy among the computed polymorphs: 0.38 eV per formula unit. The value obtained for the formation energy from raw total energies is 13 meV per atom. Its raw total energy is -35.39 eV/cell.

Cell: 4.2610 4.2610 21.1304 Å, 90.00 90.00 120.00°
Positions (direct):
Cd (0.0000, 0.0000, 0.0000)
Cd (0.3333, 0.6667, 0.6667)
Cd (0.6667, 0.3333, 0.3333)
Te (0.0000, 0.0000, 0.5124)
Te (0.0000, 0.0000, 0.7465)
Te (0.3333, 0.6667, 0.1791)
Te (0.3333, 0.6667, 0.4132)
Te (0.6667, 0.3333, 0.0798)
Te (0.6667, 0.3333, 0.8458)
As (0.0000, 0.0000, 0.2523)
As (0.3333, 0.6667, 0.9190)
As (0.6667, 0.3333, 0.5857)

=====

5.
The following is a PBE calculation of crystalline LiRh3 at its relaxed geometry, from Alexandria via LeMat-Bulk.

Summary:
The energy of formation comes out at 2 meV/atom. As for the theoretical density: 9.72 Mg/m³. Its raw total energy is -23.96 eV/cell.

Cell: 2.7645 2.7645 7.0549 Å, 90.00 90.00 90.00°
Positions (direct):
Li (0.0000, 0.0000, 0.0000)
Rh (0.0000, 0.0000, 0.5000)
Rh (0.5000, 0.5000, 0.2400)
Rh (0.5000, 0.5000, 0.7600)

=====

6.
The following is a PBE calculation of crystalline SrRhCl at its relaxed geometry, from Alexandria via LeMat-Bulk.

Summary:
As for the theoretical density: 4.36 Mg/m³. As for the relative energy among the computed polymorphs: 0.01 eV per formula unit. The value obtained for the formation energy from raw total energies is -1192 meV per atom. Its raw total energy is -57.82 eV/cell.

Cell: 7.1362 4.4093 11.2590 Å, 90.00 103.45 90.00°
Positions (direct):
Sr (0.0000, 0.0000, 0.0000)
Sr (0.1575, 0.0000, 0.4287)
Sr (0.5000, 0.5000, 0.0000)
Sr (0.6575, 0.5000, 0.4287)
Rh (0.2596, 0.5000, 0.2145)
Rh (0.4045, 0.0000, 0.2145)
Rh (0.7596, 0.0000, 0.2145)
Rh (0.9045, 0.5000, 0.2145)
Cl (0.1036, 0.5000, 0.8616)
Cl (0.3628, 0.5000, 0.5675)
Cl (0.6036, 0.0000, 0.8616)
Cl (0.8628, 0.0000, 0.5675)